{
  "formula": "SrAl2Tl",
  "functional": "PBE-GGA",
  "state": "relaxed",
  "lattice": [[2.555, -2.688, 0.000], [2.555, 2.688, 0.000], [0.000, 0.000, 7.453]],
  "species": ["Sr", "Al", "Al", "Tl"],
  "frac_coords": [[0.000, 0.000, 0.000], [0.000, 0.000, 0.457], [0.500, 0.500, 0.298], [0.500, 0.500, 0.688]],
  "final_energy_ev_per_atom": -2.95,
  "total_magnetization_mub_per_atom": 0.00,
  "formation_enthalpy_0k_ev_per_atom": -0.06
}


{
  "formula": "Zn2CrCo",
  "functional": "PBE-GGA",
  "state": "relaxed",
  "lattice": [[2.554, 0.000, 0.000], [0.000, 3.850, 0.000], [0.000, 0.000, 5.255]],
  "species": ["Zn", "Zn", "Cr", "Co"],
  "frac_coords": [[0.000, 0.000, 0.243], [0.000, 0.000, 0.757], [0.500, 0.500, 0.500], [0.500, 0.500, 0.000]],
  "final_energy_ev_per_atom": -4.66,
  "total_magnetization_mub_per_atom": 0.93,
  "formation_enthalpy_0k_ev_per_atom": 0.16
}


{
  "formula": "ReTeRu2",
  "functional": "PBE-GGA",
  "state": "relaxed",
  "lattice": [[4.542, -1.484, 0.000], [4.542, 1.484, 0.000], [-0.575, 0.000, 4.770]],
  "species": ["Re", "Te", "Ru", "Ru"],
  "frac_coords": [[0.000, 0.000, 0.000], [0.500, 0.500, 0.500], [0.262, 0.262, 0.773], [0.738, 0.738, 0.227]],
  "final_energy_ev_per_atom": -8.07,
  "total_magnetization_mub_per_atom": 0.00,
  "formation_energy_uncorrected_ev_per_atom": 0.4615
}


{
  "formula": "EuIrS2",
  "functional": "PBE-GGA",
  "state": "relaxed",
  "lattice": [[1.858, 1.073, 7.913], [-1.858, 1.073, 7.913], [0.000, -2.145, 7.913]],
  "species": ["Eu", "Ir", "S", "S"],
  "frac_coords": [[0.000, 0.000, 0.000], [0.500, 0.500, 0.500], [0.120, 0.120, 0.120], [0.880, 0.880, 0.880]],
  "final_energy_ev_per_atom": -7.36,
  "total_magnetization_mub_per_atom": 1.90,
  "formation_energy_uncorrected_ev_per_atom": -0.5078
}